10
Lattice="-0.647 3.205 -3.288 -2.664 -2.966 -2.367 -9.302 3.875 5.610" Properties=species:S:1:pos:R:3 comment="Sr2Zn4In3Sn GGA-PBE relaxed" dft_energy_ev_per_atom=-2.3572 magnetic_moment_mub_per_fu=0.0 spacegroup="P-4m2, No. 115" pbc="T T T"
Sr -2.604 2.552 -0.269
Sr -8.354 1.442 3.051
Zn -1.656 0.119 -2.828
Zn 0.000 0.000 0.000
Zn -6.282 4.085 1.950
Zn -4.675 -0.090 0.833
In -4.651 1.938 2.805
In -8.421 4.976 3.240
In -2.536 -0.981 -0.457
Sn -6.307 2.057 -0.022

10
Lattice="-1.309 -0.871 4.380 4.087 -2.074 0.809 4.438 10.043 3.324" Properties=species:S:1:pos:R:3 comment="Sr2Zn4InSn3 GGA-PBE relaxed" dft_energy_ev_per_atom=-2.6724 magnetic_moment_mub_per_fu=0.0 spacegroup="P-4m2, No. 115" pbc="T T T"
Sr 0.418 1.992 2.993
Sr 5.408 6.579 2.925
Zn 1.389 -1.472 2.594
Zn 0.000 0.000 0.000
Zn 2.178 5.974 4.312
Zn 3.649 2.596 1.607
In 3.607 3.549 4.257
Sn 2.219 5.022 1.662
Sn 3.202 8.293 5.079
Sn 2.624 0.277 0.840

20
Lattice="7.247 0.000 0.000 3.623 6.276 0.000 3.623 2.092 13.561" Properties=species:S:1:pos:R:3 comment="Sr2ZnIn6Sn GGA-PBE relaxed" dft_energy_ev_per_atom=-2.6323 magnetic_moment_mub_per_fu=0.0 spacegroup="R-3m, No. 166" pbc="T T T"
Sr 10.870 6.276 4.341
Sr 3.623 2.092 9.220
Sr 10.870 6.276 11.307
Sr 3.623 2.092 2.254
Zn 0.000 0.000 0.000
Zn 7.247 4.184 6.780
In 9.383 2.950 5.571
In 7.247 6.651 5.571
In 5.110 2.950 5.571
In 5.110 5.417 7.989
In 7.247 1.717 7.989
In 9.383 5.417 7.989
In 8.804 3.285 12.326
In 7.247 5.982 12.326
In 5.690 3.285 12.326
In 5.690 5.083 1.235
In 7.247 2.386 1.235
In 8.804 5.083 1.235
Sn 7.247 4.184 3.756
Sn 7.247 4.184 9.805